1.
Dy6ErTl2 | PBE | relaxed

Unit cell a=15.329 b=11.481 c=6.094 alpha=90.00 beta=95.73 gamma=90.00
Space group C2/c (No. 15)
Unique sites:
1 Dy 0.056 0.129 0.012 [8 per cell]
2 Dy 0.120 0.354 0.312 [8 per cell]
3 Dy 0.226 0.372 0.836 [8 per cell]
4 Er 0.000 0.400 0.750 [4 per cell]
5 Tl 0.159 0.121 0.586 [8 per cell]

As for the energy relative to the elements: -92 meV/atom. For the total magnetization, the calculation gives 0.0 Bohr magnetons per cell. Its theoretical density is 9.65 Mg/m³. Its offset from the most stable computed form is 57 meV per atom. The calculation puts the calculated volume at 29.64 Å³/atom. The value obtained for the total energy is -0.1541 hartree per atom.

***

2.
EuPuPtRh | PBE | relaxed

Unit cell a=7.011 b=7.011 c=7.011 alpha=90.00 beta=90.00 gamma=90.00
Space group F-43m (No. 216)
Unique sites:
1 Eu 0.000 0.000 0.000 [4 per cell]
2 Pu 0.000 0.000 0.500 [4 per cell]
3 Pt 0.250 0.250 0.750 [4 per cell]
4 Rh 0.250 0.250 0.250 [4 per cell]

As for the energy relative to the elements: -575 meV/atom. For the total magnetization, the calculation gives 47.0 Bohr magnetons per cell. Its theoretical density is 13.37 Mg/m³. The calculation puts the calculated volume at 21.54 Å³/atom. The value obtained for the total energy is -0.3703 hartree per atom.

***

3.
Pr2YTm2 | PBE | relaxed

Unit cell a=3.5907 b=3.5907 c=14.7138 alpha=90.00 beta=90.00 gamma=120.00
Space group P-3m1 (No. 164)
Unique sites:
1 Pr 0.3333 0.6667 0.3924 [2 per cell]
2 Y 0.0000 0.0000 0.0000 [1 per cell]
3 Tm 0.3333 0.6667 0.8060 [2 per cell]

As for the energy relative to the elements: 34 meV/atom. For the total magnetization, the calculation gives 0.0 Bohr magnetons per cell. Its theoretical density is 7.16 Mg/m³. Its offset from the most stable computed form is 0 meV per atom. The calculation puts the calculated volume at 32.86 Å³/atom. The value obtained for the total energy is -0.1822 hartree per atom.

***

4.
Tb4BiC | PBE | relaxed

Unit cell a=8.463 b=11.722 c=6.471 alpha=90.00 beta=103.72 gamma=90.00
Space group C2/c (No. 15)
Unique sites:
1 Tb 0.099 0.134 0.049 [8 per cell]
2 Tb 0.201 0.391 0.390 [8 per cell]
3 Bi 0.000 0.366 0.750 [4 per cell]
4 C 0.000 0.011 0.750 [4 per cell]

As for the energy relative to the elements: -238 meV/atom. For the total magnetization, the calculation gives 0.0 Bohr magnetons per cell. Its theoretical density is 9.12 Mg/m³. Its offset from the most stable computed form is 102 meV per atom. The calculation puts the calculated volume at 25.98 Å³/atom. The value obtained for the total energy is -0.2025 hartree per atom.

***

5.
IrAuSe2 | PBE | relaxed

Unit cell a=3.601 b=4.408 c=10.869 alpha=90.00 beta=90.00 gamma=90.00
Space group Immm (No. 71)
Unique sites:
1 Ir 0.000 0.000 0.000 [2 per cell]
2 Au 0.000 0.000 0.500 [2 per cell]
3 Se 0.000 0.500 0.343 [4 per cell]

Its formation energy without anion corrections is 95 meV/atom. For the total magnetization, the calculation gives 0.0 Bohr magnetons per cell. Its theoretical density is 10.53 Mg/m³. The calculation puts the calculated volume at 21.57 Å³/atom. The value obtained for the total energy is -0.1721 hartree per atom.

***

6.
LaCeSc2 | PBE | relaxed

Unit cell a=7.750 b=7.750 c=7.750 alpha=90.00 beta=90.00 gamma=90.00
Space group Fm-3m (No. 225)
Unique sites:
1 La 0.000 0.000 0.000 [4 per cell]
2 Ce 0.000 0.000 0.500 [4 per cell]
3 Sc 0.250 0.250 0.250 [8 per cell]

As for the energy relative to the elements: 113 meV/atom. For the total magnetization, the calculation gives 1.5 Bohr magnetons per cell. Its theoretical density is 5.26 Mg/m³. Its offset from the most stable computed form is 33 meV per atom. The calculation puts the calculated volume at 29.09 Å³/atom. The value obtained for the total energy is -0.2120 hartree per atom.

***

7.
AcPmHo6 | PBE | relaxed

Unit cell a=9.723 b=6.964 c=8.893 alpha=90.00 beta=102.75 gamma=90.00
Space group C2/m (No. 12)
Unique sites:
1 Ac 0.000 0.000 0.000 [2 per cell]
2 Pm 0.000 0.500 0.500 [2 per cell]
3 Ho 0.122 0.500 0.919 [4 per cell]
4 Ho 0.217 0.261 0.299 [8 per cell]

As for the energy relative to the elements: 403 meV/atom. For the total magnetization, the calculation gives 0.0 Bohr magnetons per cell. Its theoretical density is 7.70 Mg/m³. Its offset from the most stable computed form is 359 meV per atom. The calculation puts the calculated volume at 36.71 Å³/atom. The value obtained for the total energy is -0.1521 hartree per atom.

***

8.
CdIn2Cl4 | PBE | relaxed

Unit cell a=15.865 b=3.964 c=7.234 alpha=90.00 beta=108.56 gamma=90.00
Space group C2/m (No. 12)
Unique sites:
1 Cd 0.000 0.000 0.000 [2 per cell]
2 In 0.234 0.500 0.706 [4 per cell]
3 Cl 0.076 0.500 0.242 [4 per cell]
4 Cl 0.145 0.000 0.876 [4 per cell]

Its formation energy without anion corrections is -914 meV/atom. For the total magnetization, the calculation gives 0.0 Bohr magnetons per cell. Its theoretical density is 3.73 Mg/m³. Its offset from the most stable computed form is 26 meV per atom. The calculation puts the calculated volume at 30.81 Å³/atom. The value obtained for the total energy is -0.1059 hartree per atom.

***

9.
TbNdZnIn | PBE | relaxed

Unit cell a=3.702 b=3.702 c=7.596 alpha=90.00 beta=90.00 gamma=90.00
Space group P4mm (No. 99)
Unique sites:
1 Tb 0.000 0.000 0.000 [1 per cell]
2 Nd 0.000 0.000 0.461 [1 per cell]
3 Zn 0.500 0.500 0.215 [1 per cell]
4 In 0.500 0.500 0.740 [1 per cell]

As for the energy relative to the elements: -412 meV/atom. For the total magnetization, the calculation gives 0.0 Bohr magnetons per cell. Its theoretical density is 7.71 Mg/m³. Its offset from the most stable computed form is 0 meV per atom. The calculation puts the calculated volume at 26.03 Å³/atom. The value obtained for the total energy is -0.1383 hartree per atom.

***

10.
KTaSe2N | PBE | relaxed

Unit cell a=5.401 b=5.401 c=4.106 alpha=90.00 beta=90.00 gamma=90.00
Space group P4/mmm (No. 123)
Unique sites:
1 K 0.000 0.000 0.000 [1 per cell]
2 Ta 0.500 0.500 0.500 [1 per cell]
3 Se 0.000 0.500 0.000 [2 per cell]
4 N 0.000 0.000 0.500 [1 per cell]

Its formation energy without anion corrections is 2094 meV/atom. For the total magnetization, the calculation gives 0.1 Bohr magnetons per cell. Its theoretical density is 5.43 Mg/m³. Its offset from the most stable computed form is 2619 meV per atom. The calculation puts the calculated volume at 23.96 Å³/atom. The value obtained for the total energy is -0.1307 hartree per atom.

***

11.
MnPb2W | PBE | relaxed

Unit cell a=4.913 b=3.289 c=5.489 alpha=90.00 beta=111.76 gamma=90.00
Space group P2/m (No. 10)
Unique sites:
1 Mn 0.000 0.000 0.000 [1 per cell]
2 Pb 0.500 0.000 0.500 [1 per cell]
3 Pb 0.500 0.500 0.000 [1 per cell]
4 W 0.000 0.500 0.500 [1 per cell]

As for the energy relative to the elements: 934 meV/atom. For the total magnetization, the calculation gives 3.2 Bohr magnetons per cell. Its theoretical density is 13.16 Mg/m³. Its offset from the most stable computed form is 502 meV per atom. The calculation puts the calculated volume at 20.60 Å³/atom. The value obtained for the total energy is -0.2371 hartree per atom.

***

12.
TaAsCl2 | PBE | relaxed

Unit cell a=3.815 b=3.337 c=7.934 alpha=90.00 beta=103.18 gamma=90.00
Space group Pm (No. 6)
Unique sites:
1 Ta 0.000 0.000 0.000 [1 per cell]
2 As 0.454 0.500 0.904 [1 per cell]
3 Cl 0.119 0.500 0.251 [1 per cell]
4 Cl 0.847 0.000 0.677 [1 per cell]

Its formation energy without anion corrections is -552 meV/atom. For the total magnetization, the calculation gives 0.0 Bohr magnetons per cell. Its theoretical density is 5.52 Mg/m³. Its offset from the most stable computed form is 83 meV per atom. The calculation puts the calculated volume at 24.59 Å³/atom. The value obtained for the total energy is -0.2058 hartree per atom.

***

> The highest theoretical density belongs to which entry?

EuPuPtRh

***

> Which of these has the highest total energy?

CdIn2Cl4

***

> What is the formula in the sixth record?

LaCeSc2

***

> calculated volume of number 12 (TaAsCl2)?

24.59 Å³/atom